{
  "formula": "YCo2Mo",
  "functional": "PBE",
  "state": "optimized geometry",
  "lattice": [[-3.473, 3.473, 2.863], [3.473, -3.473, 2.863], [3.473, 3.473, -2.863]],
  "species": ["Y", "Y", "Co", "Co", "Co", "Co", "Mo", "Mo"],
  "frac_coords": [[0.000, 0.000, 0.000], [0.750, 0.250, 0.500], [0.176, 0.625, 0.051], [0.375, 0.426, 0.551], [0.574, 0.125, 0.949], [0.875, 0.824, 0.449], [0.250, 0.750, 0.500], [0.500, 0.500, 0.000]],
  "delta_e_f_kj_per_mol_fu": 175,
  "relative_energy_mev_per_atom": 439,
  "crystal_system": "tetragonal"
}

***

{
  "formula": "Be22W",
  "functional": "PBE",
  "state": "optimized geometry",
  "lattice": [[0.000, 5.784, 5.784], [5.784, 0.000, 5.784], [5.784, 5.784, 0.000]],
  "species": ["Be", "Be", "Be", "Be", "Be", "Be", "Be", "Be", "Be", "Be", "Be", "Be", "Be", "Be", "Be", "Be", "Be", "Be", "Be", "Be", "Be", "Be", "Be", "Be", "Be", "Be", "Be", "Be", "Be", "Be", "Be", "Be", "Be", "Be", "Be", "Be", "Be", "Be", "Be", "Be", "Be", "Be", "Be", "Be", "W", "W"],
  "frac_coords": [[0.000, 0.000, 0.000], [0.000, 0.000, 0.500], [0.000, 0.500, 0.000], [0.000, 0.500, 0.500], [0.010, 0.010, 0.740], [0.010, 0.740, 0.010], [0.010, 0.740, 0.740], [0.176, 0.176, 0.444], [0.176, 0.176, 0.705], [0.176, 0.444, 0.176], [0.176, 0.444, 0.705], [0.176, 0.705, 0.176], [0.176, 0.705, 0.444], [0.260, 0.260, 0.990], [0.260, 0.990, 0.260], [0.260, 0.990, 0.990], [0.295, 0.556, 0.824], [0.295, 0.824, 0.556], [0.295, 0.824, 0.824], [0.444, 0.176, 0.176], [0.444, 0.176, 0.705], [0.444, 0.705, 0.176], [0.500, 0.000, 0.000], [0.500, 0.000, 0.500], [0.500, 0.500, 0.000], [0.500, 0.500, 0.500], [0.556, 0.295, 0.824], [0.556, 0.824, 0.295], [0.556, 0.824, 0.824], [0.705, 0.176, 0.176], [0.705, 0.176, 0.444], [0.705, 0.444, 0.176], [0.740, 0.010, 0.010], [0.740, 0.010, 0.740], [0.740, 0.740, 0.010], [0.824, 0.295, 0.556], [0.824, 0.295, 0.824], [0.824, 0.556, 0.295], [0.824, 0.556, 0.824], [0.824, 0.824, 0.295], [0.824, 0.824, 0.556], [0.990, 0.260, 0.260], [0.990, 0.260, 0.990], [0.990, 0.990, 0.260], [0.375, 0.375, 0.375], [0.625, 0.625, 0.625]],
  "delta_e_f_kj_per_mol_fu": -122,
  "crystal_system": "cubic"
}

***

{
  "formula": "TlInBi",
  "functional": "PBE",
  "state": "optimized geometry",
  "lattice": [[4.768, 0.000, 0.000], [2.295, 6.463, 0.000], [2.316, 0.755, 6.422]],
  "species": ["Tl", "Tl", "In", "In", "Bi", "Bi"],
  "frac_coords": [[0.000, 0.000, 0.000], [0.194, 0.301, 0.301], [0.442, 0.726, 0.375], [0.444, 0.375, 0.726], [0.740, 0.944, 0.572], [0.743, 0.572, 0.944]],
  "delta_e_f_kj_per_mol_fu": 10,
  "relative_energy_mev_per_atom": 58,
  "crystal_system": "triclinic"
}

***

{
  "formula": "CoPtRh2",
  "functional": "PBE",
  "state": "optimized geometry",
  "lattice": [[2.658, -4.598, 0.000], [2.658, 4.598, 0.000], [-1.312, 0.000, 2.339]],
  "species": ["Co", "Pt", "Rh", "Rh"],
  "frac_coords": [[0.000, 0.000, 0.000], [0.500, 0.500, 0.000], [0.000, 0.500, 0.500], [0.500, 0.000, 0.500]],
  "delta_e_f_kj_per_mol_fu": 62,
  "crystal_system": "monoclinic"
}

***

{
  "formula": "TeOs2Pt",
  "functional": "PBE",
  "state": "optimized geometry",
  "lattice": [[-2.130, 2.130, 3.605], [2.130, -2.130, 3.605], [2.130, 2.130, -3.605]],
  "species": ["Te", "Os", "Os", "Pt"],
  "frac_coords": [[0.000, 0.000, 0.000], [0.250, 0.750, 0.500], [0.750, 0.250, 0.500], [0.500, 0.500, 0.000]],
  "formation_energy_uncorrected_ev_per_atom": 0.725,
  "crystal_system": "tetragonal"
}

***

{
  "formula": "Ti2I2Br",
  "functional": "PBE",
  "state": "optimized geometry",
  "lattice": [[11.553, -1.804, 0.000], [11.553, 1.804, 0.000], [-3.218, 0.000, 8.082]],
  "species": ["Ti", "Ti", "Ti", "Ti", "I", "I", "I", "I", "Br", "Br"],
  "frac_coords": [[0.171, 0.171, 0.173], [0.303, 0.303, 0.567], [0.697, 0.697, 0.433], [0.829, 0.829, 0.827], [0.098, 0.098, 0.368], [0.405, 0.405, 0.064], [0.595, 0.595, 0.936], [0.902, 0.902, 0.632], [0.240, 0.240, 0.776], [0.760, 0.760, 0.224]],
  "relative_energy_mev_per_atom": 0,
  "formation_energy_uncorrected_ev_per_atom": -0.582,
  "crystal_system": "monoclinic"
}

***

| no. | calculated total energy (eV/cell) | density of states at the Fermi level (states/eV per cell) |
| --- | --- | --- |
| 1 | -59.4 | 14.5 |
| 2 | -192.4 | 8.3 |
| 3 | -17.8 | 4.0 |
| 4 | -27.2 | 6.3 |
| 5 | -28.7 | 4.3 |
| 6 | -46.9 | 0.7 |